# 1
Material: SrReSe
Method: DFT, PBE-GGA
State: relaxed

Lattice parameters (Å, degrees): 5.2241 5.2241 5.2241 60.00 60.00 60.00
Last column: nearest neighbours and their distance in Å.
Element x y z (fractional)
Re1 0.0000 0.0000 0.0000  4 Sr 3.20
Se1 0.5000 0.5000 0.5000  4 Sr 3.20
Sr1 0.7500 0.7500 0.7500  4 Re 3.20, 4 Se 3.20

Output
* polymorph energy (0 for the lowest one): 1.165 eV per atom
* magnetization: 5.0 Bohr magnetons per cell
* final energy: -13.7 eV per cell


# 2
Material: Sr4ReSe
Method: DFT, PBE-GGA
State: relaxed

Lattice parameters (Å, degrees): 6.6498 6.6498 6.6498 60.00 60.00 60.00
Last column: nearest neighbours and their distance in Å.
Element x y z (fractional)
Sr1 0.8723 0.3759 0.3759  6 Sr 3.30-3.35
Sr2 0.3759 0.3759 0.8723  6 Sr 3.30-3.35
Sr3 0.3759 0.8723 0.3759  6 Sr 3.30-3.35
Sr4 0.3759 0.3759 0.3759  6 Sr 3.30-3.35
Re1 0.7500 0.7500 0.7500  12 Sr 3.90, 4 Se 4.07
Se1 0.0000 0.0000 0.0000  12 Sr 3.90, 4 Re 4.07

Output
* magnetization: 1.5 Bohr magnetons per cell
* final energy: -16.5 eV per cell


# 3
Material: SrRe2Se
Method: DFT, PBE-GGA
State: relaxed

Lattice parameters (Å, degrees): 4.7891 4.7891 4.7891 121.75 121.75 86.99
Last column: nearest neighbours and their distance in Å.
Element x y z (fractional)
Re1 0.0000 0.0000 0.0000  4 Re 2.91, 4 Sr 2.91
Re2 0.2500 0.7500 0.5000  4 Re 2.91, 4 Se 2.91
Se1 0.5000 0.5000 0.0000  4 Sr 2.91, 4 Re 2.91
Sr1 0.7500 0.2500 0.5000  4 Se 2.91, 4 Re 2.91

Output
* magnetization: 0.0 Bohr magnetons per cell
* final energy: -26.3 eV per cell


# 4
Material: SrRe2Se
Method: DFT, PBE-GGA
State: relaxed

Lattice parameters (Å, degrees): 3.6360 3.6360 6.5025 90.00 90.00 90.00
Last column: nearest neighbours and their distance in Å.
Element x y z (fractional)
Re1 0.0000 0.0000 0.0741  1 Re 2.29
Re2 0.0000 0.0000 0.4259  1 Re 2.29
Se1 0.5000 0.5000 0.2500  8 Re 2.81
Sr1 0.5000 0.5000 0.7500  2 Se 3.25, 8 Re 3.32, 4 Sr 3.64

Output
* magnetization: 0.0 Bohr magnetons per cell
* final energy: -25.6 eV per cell


# 5
Material: SrRe2Se
Method: DFT, PBE-GGA
State: relaxed

Lattice parameters (Å, degrees): 6.0121 6.0121 2.6868 90.00 90.00 125.77
Last column: nearest neighbours and their distance in Å.
Element x y z (fractional)
Re1 0.0000 0.0000 0.0000  4 Re 2.69-2.74
Re2 0.5000 0.5000 0.0000  4 Re 2.69-2.74
Se1 0.5000 0.0000 0.5000  2 Se 2.69, 2 Sr 2.74
Sr1 0.0000 0.5000 0.5000  2 Sr 2.69, 2 Se 2.74

Output
* magnetization: 0.0 Bohr magnetons per cell
* final energy: -25.6 eV per cell


# 6
Material: SrRe2Se
Method: DFT, PBE-GGA
State: relaxed

Lattice parameters (Å, degrees): 3.8787 3.8787 5.2915 90.00 90.00 90.00
Last column: nearest neighbours and their distance in Å.
Element x y z (fractional)
Re1 0.0000 0.0000 0.0000  4 Re 2.74
Re2 0.5000 0.5000 0.0000  4 Re 2.74
Se1 0.5000 0.0000 0.5000  4 Sr 2.74
Sr1 0.0000 0.5000 0.5000  4 Se 2.74

Output
* magnetization: 0.0 Bohr magnetons per cell
* final energy: -26.9 eV per cell


# 7
Material: Sr2ReSe
Method: DFT, PBE-GGA
State: relaxed

Lattice parameters (Å, degrees): 5.2418 5.2418 5.2418 60.00 60.00 60.00
Last column: nearest neighbours and their distance in Å.
Element x y z (fractional)
Re1 0.5000 0.5000 0.5000  4 Se 3.21, 4 Sr 3.21
Se1 0.7500 0.7500 0.7500  4 Re 3.21, 4 Sr 3.21
Sr1 0.0000 0.0000 0.0000  4 Se 3.21, 4 Sr 3.21
Sr2 0.2500 0.2500 0.2500  4 Re 3.21, 4 Sr 3.21

Output
* magnetization: 2.6 Bohr magnetons per cell
* final energy: -16.8 eV per cell


# 8
Material: SrRe2Se
Method: DFT, PBE-GGA
State: relaxed

Lattice parameters (Å, degrees): 6.0953 6.0953 6.0953 143.16 143.16 53.08
Last column: nearest neighbours and their distance in Å.
Element x y z (fractional)
Re1 0.0000 0.0000 0.0000  4 Re 2.72
Re2 0.5000 0.5000 0.0000  4 Re 2.72
Se1 0.2500 0.7500 0.5000  4 Sr 2.72
Sr1 0.7500 0.2500 0.5000  4 Se 2.72

Output
* magnetization: 0.0 Bohr magnetons per cell
* final energy: -26.9 eV per cell


# 9
Material: SrRe2Se
Method: DFT, PBE-GGA
State: relaxed

Lattice parameters (Å, degrees): 5.6757 5.6757 5.6757 143.63 119.77 72.44
Last column: nearest neighbours and their distance in Å.
Element x y z (fractional)
Re1 0.9310 0.9310 0.0000  2 Re 2.39
Re2 0.7561 0.2561 0.5000  2 Re 2.39, 2 Se 2.63
Se1 0.5445 0.5445 0.0000  2 Re 2.63
Sr1 0.2683 0.7683 0.5000  2 Se 3.09, 6 Re 3.21-3.36

Output
* magnetization: 0.0 Bohr magnetons per cell
* final energy: -27.9 eV per cell


# 10
Material: SrRe2Se
Method: DFT, PBE-GGA
State: relaxed

Lattice parameters (Å, degrees): 3.0161 3.0161 9.1095 90.00 90.00 113.47
Last column: nearest neighbours and their distance in Å.
Element x y z (fractional)
Re1 0.0000 0.0000 0.0415  2 Se 2.52
Re2 0.0000 0.0000 0.4585  2 Se 2.52
Se1 0.5000 0.5000 0.2500  4 Re 2.52
Sr1 0.5000 0.5000 0.7500  6 Sr 3.02-3.31, 4 Re 3.13

Output
* magnetization: 0.0 Bohr magnetons per cell
* final energy: -25.2 eV per cell


# 11
Material: SrRe2Se
Method: DFT, PBE-GGA
State: relaxed

Lattice parameters (Å, degrees): 9.3453 9.3453 9.3453 18.96 18.96 18.96
Last column: nearest neighbours and their distance in Å.
Element x y z (fractional)
Re1 0.9844 0.9844 0.9844  3 Se 2.58
Re2 0.5156 0.5156 0.5156  3 Se 2.58
Se1 0.2500 0.2500 0.2500  6 Re 2.58
Sr1 0.7500 0.7500 0.7500  6 Sr 3.08, 6 Re 3.25

Output
* magnetization: 0.0 Bohr magnetons per cell
* final energy: -25.8 eV per cell


# 12
Material: SrRe2Se
Method: DFT, PBE-GGA
State: relaxed

Lattice parameters (Å, degrees): 3.1854 3.1854 7.8559 90.00 90.00 90.00
Last column: nearest neighbours and their distance in Å.
Element x y z (fractional)
Re1 0.0000 0.0000 0.0608  4 Re 2.62
Re2 0.5000 0.5000 0.2303  4 Re 2.62, 4 Se 2.86
Se1 0.0000 0.0000 0.4549  5 Re 2.86-3.10, 4 Se 3.19
Sr1 0.5000 0.5000 0.7541  4 Sr 3.19, 4 Se 3.26, 4 Re 3.30

Output
* magnetization: 0.0 Bohr magnetons per cell
* final energy: -29.0 eV per cell


# 13
Material: SrReSe
Method: DFT, PBE-GGA
State: relaxed

Lattice parameters (Å, degrees): 4.6643 4.6643 4.6643 60.00 60.00 60.00
Last column: nearest neighbours and their distance in Å.
Element x y z (fractional)
Re1 0.5000 0.5000 0.5000  4 Se 2.86
Se1 0.7500 0.7500 0.7500  4 Re 2.86, 4 Sr 2.86
Sr1 0.0000 0.0000 0.0000  4 Se 2.86

Output
* polymorph energy (0 for the lowest one): 0.625 eV per atom
* magnetization: 1.3 Bohr magnetons per cell
* final energy: -15.4 eV per cell


# 14
Material: SrRe2Se
Method: DFT, PBE-GGA
State: relaxed

Lattice parameters (Å, degrees): 4.2336 4.2336 6.3610 70.57 70.57 60.00
Last column: nearest neighbours and their distance in Å.
Element x y z (fractional)
Re1 0.0460 0.0460 0.8621  3 Re 2.48
Re2 0.7372 0.7372 0.7883  3 Re 2.48, 3 Se 2.69
Se1 0.4681 0.4681 0.5957  6 Re 2.69-2.90
Sr1 0.2487 0.2487 0.2539  3 Se 3.16, 3 Re 3.36

Output
* magnetization: 0.0 Bohr magnetons per cell
* final energy: -30.0 eV per cell


# 15
Material: SrRe2Se
Method: DFT, PBE-GGA
State: relaxed

Lattice parameters (Å, degrees): 6.0478 6.0478 5.3621 66.05 66.05 31.94
Last column: nearest neighbours and their distance in Å.
Element x y z (fractional)
Re1 0.0397 0.0397 0.8488  2 Re 2.36
Re2 0.4603 0.4603 0.6512  2 Re 2.36
Se1 0.7500 0.7500 0.7500  4 Re 2.82, 4 Sr 3.16
Sr1 0.2500 0.2500 0.2500  2 Re 3.11, 4 Se 3.16, 2 Sr 3.33

Output
* magnetization: 0.0 Bohr magnetons per cell
* final energy: -28.5 eV per cell


# 16
Material: SrRe4Se
Method: DFT, PBE-GGA
State: relaxed

Lattice parameters (Å, degrees): 5.4013 5.4013 5.4013 60.00 60.00 60.00
Last column: nearest neighbours and their distance in Å.
Element x y z (fractional)
Sr1 0.0000 0.0000 0.0000  12 Re 3.17, 4 Se 3.31
Re1 0.8708 0.3764 0.3764  6 Re 2.67-2.73
Re2 0.3764 0.3764 0.8708  6 Re 2.67-2.73
Re3 0.3764 0.8708 0.3764  6 Re 2.67-2.73
Re4 0.3764 0.3764 0.3764  6 Re 2.67-2.73
Se1 0.7500 0.7500 0.7500  12 Re 3.16, 4 Sr 3.31

Output
* magnetization: 0.0 Bohr magnetons per cell
* final energy: -50.3 eV per cell


# 17
Material: SrRe2Se
Method: DFT, PBE-GGA
State: relaxed

Lattice parameters (Å, degrees): 4.8076 6.3062 2.8834 76.76 90.06 112.42
Last column: nearest neighbours and their distance in Å.
Element x y z (fractional)
Re1 0.0000 0.0000 0.0000  6 Re 2.80-2.88
Re2 0.5000 0.0000 0.5000  6 Re 2.80-2.88
Se1 0.0000 0.5000 0.5000  4 Sr 2.80, 2 Se 2.88
Sr1 0.5000 0.5000 0.0000  4 Se 2.80, 2 Sr 2.88

Output
* magnetization: 0.0 Bohr magnetons per cell
* final energy: -27.0 eV per cell


# 18
Material: Sr2ReSe
Method: DFT, PBE-GGA
State: relaxed

Lattice parameters (Å, degrees): 6.0152 6.0152 4.3197 89.98 89.98 46.43
Last column: nearest neighbours and their distance in Å.
Element x y z (fractional)
Re1 0.5721 0.5721 0.3750  2 Se 2.46
Se1 0.6779 0.6779 0.8749  2 Re 2.46
Sr1 0.9803 0.9803 0.8750  3 Se 3.22-3.34, 4 Re 3.36
Sr2 0.2696 0.2696 0.3750  3 Re 3.22-3.34, 4 Se 3.36

Output
* magnetization: 0.4 Bohr magnetons per cell
* final energy: -19.4 eV per cell


# 19
Material: Sr2ReSe
Method: DFT, PBE-GGA
State: relaxed

Lattice parameters (Å, degrees): 5.4539 3.6714 5.4519 90.00 90.00 90.00
Last column: nearest neighbours and their distance in Å.
Element x y z (fractional)
Re1 0.0000 0.6251 0.3745  8 Sr 3.28-3.29, 2 Re 3.67
Se1 0.5000 0.6249 0.8756  8 Sr 3.28-3.29, 2 Se 3.67
Sr1 0.0000 0.1247 0.8747  4 Re 3.28-3.29, 4 Se 3.29, 2 Sr 3.67
Sr2 0.5000 0.1253 0.3753  4 Se 3.28-3.29, 4 Re 3.29, 2 Sr 3.67

Output
* magnetization: 2.9 Bohr magnetons per cell
* final energy: -18.6 eV per cell


# 20
Material: Sr2ReSe
Method: DFT, PBE-GGA
State: relaxed

Lattice parameters (Å, degrees): 6.8056 6.8056 6.8056 149.68 135.67 54.65
Last column: nearest neighbours and their distance in Å.
Element x y z (fractional)
Re1 0.5347 0.5347 0.0000  2 Se 2.51
Se1 0.6814 0.1814 0.5000  2 Re 2.51
Sr1 0.9991 0.9991 0.0000  4 Re 3.15, 2 Se 3.38
Sr2 0.2848 0.7848 0.5000  4 Se 3.37, 2 Re 3.51, 4 Sr 3.56-3.65

Output
* magnetization: 1.0 Bohr magnetons per cell
* final energy: -19.0 eV per cell